4
Lattice="0.000 4.084 4.084 4.084 0.000 4.084 4.084 4.084 0.000" Properties=species:S:1:pos:R:3 comment="PBE SrCaEuGa, relaxed" formation_enthalpy_0k_ev_per_atom=-0.07 crystal_system=cubic e_tot_ev_per_atom=-4.321 pbc="T T T"
Sr 0.000 0.000 0.000
Ca 2.042 2.042 2.042
Eu 4.084 4.084 4.084
Ga 6.126 6.126 6.126


4
Lattice="0.000 3.831 3.831 3.831 0.000 3.831 3.831 3.831 0.000" Properties=species:S:1:pos:R:3 comment="PBE CaEuTlGa, relaxed" formation_enthalpy_0k_ev_per_atom=-0.44 crystal_system=cubic e_tot_ev_per_atom=-4.854 pbc="T T T"
Ca 0.000 0.000 0.000
Eu 3.831 3.831 3.831
Tl 5.747 5.747 5.747
Ga 1.916 1.916 1.916


4
Lattice="5.942 0.000 0.000 0.000 5.942 0.000 0.000 0.000 4.102" Properties=species:S:1:pos:R:3 comment="PBE CaEuGd2, relaxed" polymorph_energy_mev_per_atom=7 formation_enthalpy_0k_ev_per_atom=0.15 crystal_system=tetragonal e_tot_ev_per_atom=-9.955 pbc="T T T"
Ca 0.000 0.000 0.000
Eu 2.971 2.971 0.000
Gd 0.000 2.971 2.051
Gd 2.971 0.000 2.051


4
Lattice="0.000 4.268 4.268 4.268 0.000 4.268 4.268 4.268 0.000" Properties=species:S:1:pos:R:3 comment="PBE Ca2EuGd, relaxed" polymorph_energy_mev_per_atom=47 formation_enthalpy_0k_ev_per_atom=0.12 crystal_system=cubic e_tot_ev_per_atom=-6.972 pbc="T T T"
Ca 2.134 2.134 2.134
Ca 6.402 6.402 6.402
Eu 0.000 0.000 0.000
Gd 4.268 4.268 4.268


3
Lattice="3.766 0.000 0.000 -1.883 3.261 0.000 0.000 0.000 9.384" Properties=species:S:1:pos:R:3 comment="PBE CaEuGd, relaxed" formation_enthalpy_0k_ev_per_atom=0.06 crystal_system=trigonal e_tot_ev_per_atom=-8.723 pbc="T T T"
Ca 0.000 0.000 0.000
Eu 0.000 2.174 6.067
Gd 1.883 1.087 3.093


3
Lattice="-1.886 1.886 8.117 1.886 -1.886 8.117 1.886 1.886 -8.117" Properties=species:S:1:pos:R:3 comment="PBE CaEuGd, relaxed" formation_enthalpy_0k_ev_per_atom=0.07 crystal_system=tetragonal e_tot_ev_per_atom=-8.721 pbc="T T T"
Ca 0.000 0.000 0.000
Eu 0.000 0.000 5.185
Gd 0.000 0.000 10.803


4
Lattice="6.135 0.000 0.000 0.000 6.135 0.000 0.000 0.000 4.171" Properties=species:S:1:pos:R:3 comment="PBE Ca2EuGd, relaxed" polymorph_energy_mev_per_atom=46 formation_enthalpy_0k_ev_per_atom=0.12 crystal_system=tetragonal e_tot_ev_per_atom=-6.973 pbc="T T T"
Ca 0.000 3.067 0.000
Ca 3.067 0.000 0.000
Eu 0.000 0.000 2.086
Gd 3.067 3.067 2.086


4
Lattice="3.831 0.000 0.000 0.000 3.831 0.000 0.000 0.000 10.742" Properties=species:S:1:pos:R:3 comment="PBE Ca2EuGd, relaxed" polymorph_energy_mev_per_atom=0 formation_enthalpy_0k_ev_per_atom=0.07 crystal_system=tetragonal e_tot_ev_per_atom=-7.019 pbc="T T T"
Ca 0.000 0.000 2.530
Ca 0.000 0.000 8.211
Eu 1.916 1.916 5.371
Gd 1.916 1.916 0.000


4
Lattice="1.797 1.037 12.942 -1.797 1.037 12.942 0.000 -2.075 12.942" Properties=species:S:1:pos:R:3 comment="PBE CaEuGd2, relaxed" polymorph_energy_mev_per_atom=61 formation_enthalpy_0k_ev_per_atom=0.21 crystal_system=trigonal e_tot_ev_per_atom=-9.901 pbc="T T T"
Ca 0.000 0.000 0.000
Eu 0.000 0.000 19.413
Gd 0.000 0.000 3.402
Gd 0.000 0.000 35.425


4
Lattice="0.000 4.155 4.155 4.155 0.000 4.155 4.155 4.155 0.000" Properties=species:S:1:pos:R:3 comment="PBE CaEuGd2, relaxed" polymorph_energy_mev_per_atom=0 formation_enthalpy_0k_ev_per_atom=0.15 crystal_system=cubic e_tot_ev_per_atom=-9.963 pbc="T T T"
Ca 0.000 0.000 0.000
Eu 4.155 4.155 4.155
Gd 2.078 2.078 2.078
Gd 6.233 6.233 6.233


4
Lattice="0.000 4.233 4.233 4.233 0.000 4.233 4.233 4.233 0.000" Properties=species:S:1:pos:R:3 comment="PBE CaLaEuGd, relaxed" formation_enthalpy_0k_ev_per_atom=0.12 crystal_system=cubic e_tot_ev_per_atom=-7.701 pbc="T T T"
Ca 0.000 0.000 0.000
La 6.349 6.349 6.349
Eu 2.116 2.116 2.116
Gd 4.233 4.233 4.233


4
Lattice="0.000 4.080 4.080 4.080 0.000 4.080 4.080 4.080 0.000" Properties=species:S:1:pos:R:3 comment="PBE LiCaEuGd, relaxed" formation_enthalpy_0k_ev_per_atom=0.21 crystal_system=cubic e_tot_ev_per_atom=-6.856 pbc="T T T"
Li 0.000 0.000 0.000
Ca 6.119 6.119 6.119
Eu 4.080 4.080 4.080
Gd 2.040 2.040 2.040


Fermi-level density of states: 2.304; 1.563; 2.301; 1.470; 1.899; 1.792; 2.032; 1.603; 1.855; 1.601; 1.518; 1.515 (states/eV per atom)